1.
Entry from Alexandria: Cs2MgN after structural relaxation (PBE).

## Properties
Raw formation energy in eV/f.u.: 0.66
Distance to the lowest polymorph of the same formula in meV/atom: 0

The structure in extended XYZ format:
```
8
Lattice="9.582 -1.971 -0.137 -8.008 5.606 0.406 -0.795 -2.521 9.419" Properties=species:S:1:pos:R:3 pbc="T T T"
Cs 3.104 0.129 2.067
Cs -2.719 0.076 7.554
Cs -0.900 2.881 2.959
Cs 2.073 -0.858 6.797
Mg 0.000 0.000 0.000
Mg -4.008 2.451 4.980
N 0.787 1.818 0.135
N 4.787 -1.337 4.708
```

***

2.
Entry from Alexandria: CsMg3N after structural relaxation (PBE).

## Properties
Raw formation energy in eV/f.u.: 9.36
Distance to the lowest polymorph of the same formula in meV/atom: 1341

The structure in extended XYZ format:
```
5
Lattice="-4.846 5.980 -0.668 -4.086 -3.901 -5.271 -4.417 -2.953 5.609" Properties=species:S:1:pos:R:3 pbc="T T T"
Cs 0.000 0.000 0.000
Mg -2.043 -1.950 -2.635
Mg -2.208 -1.476 2.805
Mg -2.423 2.990 -0.334
N -6.674 -0.437 -0.165
```

***

3.
Entry from Alexandria: CsMgN3 after structural relaxation (PBE).

## Properties
Raw formation energy in eV/f.u.: 13.10

The structure in extended XYZ format:
```
5
Lattice="-2.525 -3.277 -1.147 1.124 -2.113 3.564 -3.285 1.796 2.101" Properties=species:S:1:pos:R:3 pbc="T T T"
Cs 0.000 0.000 0.000
Mg -2.343 -1.797 2.259
N 0.562 -1.057 1.782
N -1.642 0.898 1.050
N -1.263 -1.638 -0.573
```

***

4.
Entry from Alexandria: CsMgN2O after structural relaxation (PBE).

## Properties
Raw formation energy in eV/f.u.: 9.20

The structure in extended XYZ format:
```
5
Lattice="4.339 0.000 0.000 0.000 4.339 0.000 0.000 0.000 4.370" Properties=species:S:1:pos:R:3 pbc="T T T"
Cs 0.000 0.000 0.000
Mg 2.170 2.170 2.185
O 0.000 0.000 2.185
N 0.000 2.170 0.000
N 2.170 0.000 0.000
```

***

5.
Entry from Alexandria: CsMgSN2 after structural relaxation (PBE).

## Properties
Raw formation energy in eV/f.u.: 9.79

The structure in extended XYZ format:
```
5
Lattice="-1.337 -3.912 -0.848 3.961 -1.422 0.315 -0.937 -1.129 6.687" Properties=species:S:1:pos:R:3 pbc="T T T"
Cs 0.000 0.000 0.000
S -0.468 -0.565 3.344
Mg 0.844 -3.232 3.077
N 1.981 -0.711 0.157
N -0.668 -1.956 -0.424
```

***

6.
Entry from Alexandria: CsMgS2N after structural relaxation (PBE).

## Properties
Raw formation energy in eV/f.u.: 7.56
Distance to the lowest polymorph of the same formula in meV/atom: 1279

The structure in extended XYZ format:
```
5
Lattice="5.658 0.000 0.000 0.000 5.658 0.000 0.000 0.000 4.423" Properties=species:S:1:pos:R:3 pbc="T T T"
Cs 0.000 0.000 0.000
S 0.000 2.829 0.000
S 2.829 0.000 0.000
Mg 2.829 2.829 2.211
N 0.000 0.000 2.211
```

***

7.
Entry from Alexandria: CsMgS2N after structural relaxation (PBE).

## Properties
Raw formation energy in eV/f.u.: 1.17
Distance to the lowest polymorph of the same formula in meV/atom: 0

The structure in extended XYZ format:
```
5
Lattice="5.091 0.000 0.000 0.000 5.091 0.000 0.000 0.000 4.793" Properties=species:S:1:pos:R:3 pbc="T T T"
Cs 2.546 2.546 2.396
S 0.000 2.546 0.000
S 2.546 0.000 0.000
Mg 0.000 0.000 0.000
N 0.000 0.000 2.396
```

***

8.
Entry from Alexandria: CsMgSe2N after structural relaxation (PBE).

## Properties
Raw formation energy in eV/f.u.: 7.11

The structure in extended XYZ format:
```
5
Lattice="-2.202 4.698 2.915 -4.602 0.182 -3.769 -2.296 -2.734 2.672" Properties=species:S:1:pos:R:3 pbc="T T T"
Cs 0.000 0.000 0.000
Mg -4.550 1.073 0.909
Se -2.301 0.091 -1.885
Se -1.101 2.349 1.457
N -1.148 -1.367 1.336
```

***

9.
Entry from Alexandria: CsMgTe2N after structural relaxation (PBE).

## Properties
Raw formation energy in eV/f.u.: 7.22
Distance to the lowest polymorph of the same formula in meV/atom: 1222

The structure in extended XYZ format:
```
5
Lattice="6.483 0.000 0.000 0.000 6.483 0.000 0.000 0.000 4.452" Properties=species:S:1:pos:R:3 pbc="T T T"
Cs 0.000 0.000 0.000
Mg 3.242 3.242 2.226
Te 0.000 3.242 0.000
Te 3.242 0.000 0.000
N 0.000 0.000 2.226
```

***

10.
Entry from Alexandria: CsMgTe2N after structural relaxation (PBE).

## Properties
Raw formation energy in eV/f.u.: 1.11
Distance to the lowest polymorph of the same formula in meV/atom: 0

The structure in extended XYZ format:
```
5
Lattice="-5.313 -3.107 2.102 -1.460 -1.644 -6.121 2.085 -3.302 0.390" Properties=species:S:1:pos:R:3 pbc="T T T"
Cs -2.344 -4.027 -1.815
Mg 0.000 0.000 0.000
Te -0.730 -0.822 -3.060
Te -2.657 -1.553 1.051
N 1.043 -1.651 0.195
```

***

11.
Entry from Alexandria: CsMgTeN2 after structural relaxation (PBE).

## Properties
Raw formation energy in eV/f.u.: 9.37
Distance to the lowest polymorph of the same formula in meV/atom: 843

The structure in extended XYZ format:
```
5
Lattice="4.438 0.000 0.000 0.000 4.438 0.000 0.000 0.000 7.698" Properties=species:S:1:pos:R:3 pbc="T T T"
Cs 0.000 0.000 0.000
Mg 2.219 2.219 3.849
Te 0.000 0.000 3.849
N 0.000 2.219 0.000
N 2.219 0.000 0.000
```

***

12.
Entry from Alexandria: CsMgTeN2 after structural relaxation (PBE).

## Properties
Raw formation energy in eV/f.u.: 5.15
Distance to the lowest polymorph of the same formula in meV/atom: 0

The structure in extended XYZ format:
```
5
Lattice="4.919 0.000 0.000 0.000 4.919 0.000 0.000 0.000 5.659" Properties=species:S:1:pos:R:3 pbc="T T T"
Cs 2.459 2.459 2.830
Mg 0.000 0.000 0.000
Te 0.000 0.000 2.830
N 0.000 2.459 0.000
N 2.459 0.000 0.000
```

***

Number 1: raw total energy -11.0 eV/f.u.. Number 2: raw total energy -4.6 eV/f.u.. Number 3: raw total energy -14.3 eV/f.u.. Number 4: raw total energy -14.9 eV/f.u.. Number 5: raw total energy -13.4 eV/f.u.. Number 6: raw total energy -11.5 eV/f.u.. Number 7: raw total energy -17.9 eV/f.u.. Number 8: raw total energy -10.6 eV/f.u.. Number 9: raw total energy -9.8 eV/f.u.. Number 10: raw total energy -15.9 eV/f.u.. Number 11: raw total energy -12.9 eV/f.u.. Number 12: raw total energy -17.1 eV/f.u..